Entry 1:
MgInTcB2: relaxed, GGA-PBE.

Properties
Theoretical density, g/cm³: 4.75
Formation enthalpy at 0 K, meV per atom: 810
SG: No. 123

Unit cell a=4.1600 b=5.2262 c=4.1600 alpha=90.00 beta=90.00 gamma=90.00
Closest atoms and distances in Å follow each position.
Atoms (fractional coordinates):
B  0.5000  0.0000  0.0000  2 Tc 2.08
B  0.0000  0.0000  0.5000  2 Tc 2.08
In  0.0000  0.5000  0.0000  2 Tc 2.61
Tc  0.0000  0.0000  0.0000  4 B 2.08
Mg  0.5000  0.5000  0.5000  4 In 2.94



Entry 2:
KCr2Tc: relaxed, GGA-PBE.

Properties
Theoretical density, g/cm³: 5.07
Formation enthalpy at 0 K, meV per atom: 1585
SG: No. 119
Polymorph energy (0 for the lowest one), meV/atom: 797.5

Unit cell a=5.4277 b=5.4277 c=5.4277 alpha=134.90 beta=134.90 gamma=65.69
Closest atoms and distances in Å follow each position.
Atoms (fractional coordinates):
Cr  0.2500  0.7500  0.5000  4 Tc 2.94, 4 Cr 3.09, 4 K 3.09
Cr  0.0000  0.0000  0.0000  4 K 2.94, 4 Cr 3.09, 4 Tc 3.09
Tc  0.7500  0.2500  0.5000  8 Cr 2.94-3.09, 4 K 3.09
K  0.5000  0.5000  0.0000  8 Cr 2.94-3.09, 4 Tc 3.09